Material: NaTi2F8
Method: DFT, PBE
State: optimized geometry

Results
**Calculated density**: 2.71 Mg/m³
**M_tot**: 1.00 μB per formula unit
**ΔE_f (raw)**: -3.23 eV per atom

a = 6.939 Å, b = 6.939 Å, c = 3.976 Å
α = 90.00°, β = 90.00°, γ = 120.00°
Fractional coordinates of all 11 atoms:
Na 0.000 0.000 0.000
Ti 0.333 0.667 0.248
Ti 0.667 0.333 0.752
F 0.180 0.817 0.246
F 0.183 0.363 0.246
F 0.333 0.667 0.748
F 0.363 0.180 0.754
F 0.637 0.820 0.246
F 0.667 0.333 0.252
F 0.817 0.637 0.754
F 0.820 0.183 0.754

***

Material: Na2TiF4
Method: DFT, PBE
State: optimized geometry

Results
**Calculated density**: 2.46 Mg/m³
**M_tot**: 0.00 μB per formula unit
**ΔE_f (raw)**: -2.59 eV per atom

a = 5.332 Å, b = 5.332 Å, c = 5.332 Å
α = 114.07°, β = 114.07°, γ = 100.63°
Fractional coordinates of all 7 atoms:
Na 0.250 0.750 0.500
Na 0.750 0.250 0.500
Ti 0.000 0.000 0.000
F 0.232 0.232 0.464
F 0.232 0.768 0.000
F 0.768 0.232 0.000
F 0.768 0.768 0.536

***

Material: NaTi2F
Method: DFT, PBE
State: optimized geometry

Results
**Calculated density**: 3.49 Mg/m³
**M_tot**: 0.00 μB per formula unit
**ΔE_f (raw)**: -0.31 eV per atom

a = 5.859 Å, b = 5.859 Å, c = 5.859 Å
α = 98.34°, β = 98.34°, γ = 135.22°
Fractional coordinates of all 8 atoms:
Na 0.000 0.000 0.000
Na 0.750 0.250 0.500
Ti 0.247 0.625 0.122
Ti 0.375 0.497 0.622
Ti 0.503 0.125 0.878
Ti 0.875 0.753 0.378
F 0.250 0.750 0.500
F 0.500 0.500 0.000